VASP calculation (PBE) on crystalline PmU2F8 at its relaxed geometry.

Raw formation energy, eV per atom: -3.3197
Final energy, eV per atom: -7.16
Size of the total moment, μB/cell: 13.95

abc: 3.841 6.910 11.102
angles: 90.00 90.00 90.00
Space group Immm (No. 71)
Asymmetric unit:
Pm 0.000 0.000 0.000 x2
U 0.000 0.000 0.321 x4
F 0.000 0.197 0.500 x4
F 0.000 0.265 0.161 x8
F 0.000 0.500 0.360 x4


VASP calculation (PBE) on crystalline PmUF6 at its relaxed geometry.

Raw formation energy, eV per atom: -3.6085
Energy above the most stable polymorph in this dataset, eV per atom: 0.090
Final energy, eV per atom: -7.02
Size of the total moment, μB/cell: 6.00

abc: 5.879 8.508 5.948
angles: 90.00 100.49 90.00
Space group C2/m (No. 12)
Asymmetric unit:
Pm 0.000 0.000 0.000 x2
U 0.000 0.500 0.500 x2
F 0.233 0.500 0.229 x4
F 0.234 0.161 0.256 x8


VASP calculation (PBE) on crystalline Pm2UF11 at its relaxed geometry.

Raw formation energy, eV per atom: -3.8002
Final energy, eV per atom: -6.76
Size of the total moment, μB/cell: 4.00

abc: 8.363 10.569 11.208
angles: 90.00 90.00 90.00
Space group Ibam (No. 72)
Asymmetric unit:
Pm 0.137 0.183 0.000 x8
U 0.000 0.500 0.250 x4
F 0.000 0.000 0.000 x4
F 0.097 0.328 0.155 x16
F 0.126 0.224 0.500 x8
F 0.195 0.440 0.365 x16


VASP calculation (PBE) on crystalline PmUF6 at its relaxed geometry.

Raw formation energy, eV per atom: -3.6988
Energy above the most stable polymorph in this dataset, eV per atom: 0.000
Final energy, eV per atom: -7.11
Size of the total moment, μB/cell: 11.99

abc: 9.209 9.209 9.209
angles: 90.00 90.00 90.00
Space group Fm-3m (No. 225)
Asymmetric unit:
Pm 0.000 0.000 0.000 x4
U 0.000 0.000 0.500 x4
F 0.000 0.000 0.247 x24


Question: The highest size of the total moment belongs to which entry?
Answer: PmU2F8


Repeat the second record exactly.
VASP calculation (PBE) on crystalline PmUF6 at its relaxed geometry.

Raw formation energy, eV per atom: -3.6085
Energy above the most stable polymorph in this dataset, eV per atom: 0.090
Final energy, eV per atom: -7.02
Size of the total moment, μB/cell: 6.00

abc: 5.879 8.508 5.948
angles: 90.00 100.49 90.00
Space group C2/m (No. 12)
Asymmetric unit:
Pm 0.000 0.000 0.000 x2
U 0.000 0.500 0.500 x2
F 0.233 0.500 0.229 x4
F 0.234 0.161 0.256 x8